First-principles (GGA-PBE) data for a relaxed EuGaPt2 crystal, as listed in the Alexandria database.

Properties
The calculation puts the formation energy at -0.840 eV per atom. The size of the total moment is 6.8 μB/f.u. As for the total energy: -7.19 eV per atom. Its space group is No. 166.

a = 4.379 Å, b = 4.379 Å, c = 5.683 Å
α = 67.34°, β = 67.34°, γ = 60.00°
Positions (direct):
Eu 0.500 0.500 0.500
Ga 0.000 0.000 0.000
Pt 0.293 0.293 0.121
Pt 0.707 0.707 0.879